# 1
VASP calculation (GGA-PBE) on crystalline RbMgFe3 at its relaxed geometry.

a = 4.9868 Å, b = 4.9868 Å, c = 4.9868 Å
α = 90.00°, β = 90.00°, γ = 90.00°
With the nearest neighbours (Å) after each atom.
Fractional positions:
Fe 0.0000 0.0000 0.5000  2 Mg 2.49
Fe 0.0000 0.5000 0.0000  2 Mg 2.49
Fe 0.5000 0.0000 0.0000  2 Mg 2.49
Rb 0.5000 0.5000 0.5000  12 Fe 3.53
Mg 0.0000 0.0000 0.0000  6 Fe 2.49

- magnetization (μB/f.u.) = 9.0
- formation energy from the elements (meV per atom) = 1550
- crystal system = cubic
- VASP energy (eV/atom) = -4.04
- relative energy among the computed polymorphs (eV/atom) = 0.000

=====

# 2
VASP calculation (GGA-PBE) on crystalline RbMg2Fe at its relaxed geometry.

a = 5.1719 Å, b = 5.1719 Å, c = 5.1719 Å
α = 60.00°, β = 60.00°, γ = 60.00°
With the nearest neighbours (Å) after each atom.
Fractional positions:
Mg 0.7500 0.7500 0.7500  4 Rb 3.17, 4 Fe 3.17
Mg 0.2500 0.2500 0.2500  4 Rb 3.17, 4 Fe 3.17
Fe 0.0000 0.0000 0.0000  8 Mg 3.17
Rb 0.5000 0.5000 0.5000  8 Mg 3.17

- magnetization (μB/f.u.) = 0.0
- formation energy from the elements (meV per atom) = 1094
- crystal system = cubic
- VASP energy (eV/atom) = -2.06
- relative energy among the computed polymorphs (eV/atom) = 0.281

=====

# 3
VASP calculation (GGA-PBE) on crystalline Rb3MgFe at its relaxed geometry.

a = 6.7075 Å, b = 6.7075 Å, c = 6.7075 Å
α = 90.00°, β = 90.00°, γ = 90.00°
With the nearest neighbours (Å) after each atom.
Fractional positions:
Fe 0.0000 0.0000 0.0000  6 Rb 3.35
Rb 0.5000 0.0000 0.0000  2 Fe 3.35
Rb 0.0000 0.5000 0.0000  2 Fe 3.35
Rb 0.0000 0.0000 0.5000  2 Fe 3.35
Mg 0.5000 0.5000 0.5000  12 Rb 4.74

- magnetization (μB/f.u.) = 2.6
- formation energy from the elements (meV per atom) = 887
- crystal system = cubic
- VASP energy (eV/atom) = -1.70
- relative energy among the computed polymorphs (eV/atom) = 0.000

=====

# 4
VASP calculation (GGA-PBE) on crystalline RbMg2Fe at its relaxed geometry.

a = 6.0637 Å, b = 6.0637 Å, c = 9.8444 Å
α = 72.06°, β = 72.06°, γ = 90.00°
With the nearest neighbours (Å) after each atom.
Fractional positions:
Fe 0.5000 0.5000 0.0000  4 Mg 2.68
Fe 0.2500 0.7500 0.5000  4 Mg 2.68
Rb 0.0000 0.0000 0.0000  8 Mg 4.05, 4 Fe 4.29
Rb 0.7500 0.2500 0.5000  8 Mg 4.05, 4 Fe 4.29
Mg 0.8750 0.6246 0.7500  2 Fe 2.68
Mg 0.3746 0.1250 0.2500  2 Fe 2.68
Mg 0.3754 0.6250 0.2500  2 Fe 2.68
Mg 0.3750 0.6254 0.7500  2 Fe 2.68

- magnetization (μB/f.u.) = 2.9
- formation energy from the elements (meV per atom) = 813
- crystal system = tetragonal
- VASP energy (eV/atom) = -2.34
- relative energy among the computed polymorphs (eV/atom) = 0.000

=====

# 5
VASP calculation (GGA-PBE) on crystalline RbMg2FeRe at its relaxed geometry.

a = 5.1661 Å, b = 4.4579 Å, c = 5.1661 Å
α = 90.00°, β = 90.00°, γ = 90.00°
With the nearest neighbours (Å) after each atom.
Fractional positions:
Rb 0.5000 0.5000 0.5000  8 Mg 3.41, 4 Re 3.65
Mg 0.5000 0.0000 0.0000  2 Fe 2.58
Mg 0.0000 0.0000 0.5000  2 Fe 2.58
Fe 0.0000 0.0000 0.0000  2 Re 2.23
Re 0.0000 0.5000 0.0000  2 Fe 2.23

- magnetization (μB/f.u.) = 2.2
- formation energy from the elements (meV per atom) = 831
- crystal system = tetragonal
- VASP energy (eV/atom) = -4.18
- relative energy among the computed polymorphs (eV/atom) = 0.000

=====

# 6
VASP calculation (GGA-PBE) on crystalline RbMg2FeRe at its relaxed geometry.

a = 5.0761 Å, b = 5.5558 Å, c = 5.0761 Å
α = 90.00°, β = 90.00°, γ = 90.00°
With the nearest neighbours (Å) after each atom.
Fractional positions:
Mg 0.0000 0.0000 0.5000  2 Fe 2.54
Mg 0.5000 0.0000 0.0000  2 Fe 2.54
Fe 0.0000 0.0000 0.0000  4 Mg 2.54, 2 Rb 2.78
Rb 0.0000 0.5000 0.0000  2 Fe 2.78
Re 0.5000 0.5000 0.5000  4 Rb 3.59, 8 Mg 3.76

- magnetization (μB/f.u.) = 6.3
- formation energy from the elements (meV per atom) = 1836
- crystal system = tetragonal
- VASP energy (eV/atom) = -3.18
- relative energy among the computed polymorphs (eV/atom) = 1.005

=====

# 7
VASP calculation (GGA-PBE) on crystalline RbMgFe2Re at its relaxed geometry.

a = 4.3339 Å, b = 4.7586 Å, c = 4.3339 Å
α = 90.00°, β = 90.00°, γ = 90.00°
With the nearest neighbours (Å) after each atom.
Fractional positions:
Fe 0.0000 0.0000 0.5000  2 Rb 2.17
Fe 0.5000 0.0000 0.0000  2 Rb 2.17
Mg 0.0000 0.5000 0.0000  2 Rb 2.38
Re 0.5000 0.5000 0.5000  4 Mg 3.06, 8 Fe 3.22
Rb 0.0000 0.0000 0.0000  4 Fe 2.17, 2 Mg 2.38

- magnetization (μB/f.u.) = 0.0
- formation energy from the elements (meV per atom) = 3042
- crystal system = tetragonal
- VASP energy (eV/atom) = -3.35

=====

# 8
VASP calculation (GGA-PBE) on crystalline RbMgTaFe2 at its relaxed geometry.

a = 4.9281 Å, b = 5.0906 Å, c = 4.9281 Å
α = 90.00°, β = 90.00°, γ = 90.00°
With the nearest neighbours (Å) after each atom.
Fractional positions:
Rb 0.5000 0.5000 0.5000  4 Ta 3.48, 8 Fe 3.54
Fe 0.5000 0.0000 0.0000  2 Mg 2.46
Fe 0.0000 0.0000 0.5000  2 Mg 2.46
Mg 0.0000 0.0000 0.0000  4 Fe 2.46, 2 Ta 2.55
Ta 0.0000 0.5000 0.0000  2 Mg 2.55

- magnetization (μB/f.u.) = 6.3
- formation energy from the elements (meV per atom) = 1966
- crystal system = tetragonal
- VASP energy (eV/atom) = -4.30

=====

# 9
VASP calculation (GGA-PBE) on crystalline RbMgFe2Tc at its relaxed geometry.

a = 4.7110 Å, b = 5.3253 Å, c = 4.7110 Å
α = 90.00°, β = 90.00°, γ = 90.00°
With the nearest neighbours (Å) after each atom.
Fractional positions:
Rb 0.5000 0.5000 0.5000  4 Mg 3.33, 8 Fe 3.56
Fe 0.0000 0.0000 0.5000  2 Tc 2.36
Fe 0.5000 0.0000 0.0000  2 Tc 2.36
Tc 0.0000 0.0000 0.0000  4 Fe 2.36
Mg 0.0000 0.5000 0.0000  2 Tc 2.66

- magnetization (μB/f.u.) = 5.2
- formation energy from the elements (meV per atom) = 1055
- crystal system = tetragonal
- VASP energy (eV/atom) = -4.92

=====

# 10
VASP calculation (GGA-PBE) on crystalline Rb2MgFeTe at its relaxed geometry.

a = 6.5255 Å, b = 5.0137 Å, c = 6.5255 Å
α = 90.00°, β = 90.00°, γ = 90.00°
With the nearest neighbours (Å) after each atom.
Fractional positions:
Fe 0.0000 0.5000 0.0000  2 Mg 2.51
Mg 0.0000 0.0000 0.0000  2 Fe 2.51
Rb 0.5000 0.0000 0.0000  2 Mg 3.26
Rb 0.0000 0.0000 0.5000  2 Mg 3.26
Te 0.5000 0.5000 0.5000  8 Rb 4.11

- magnetization (μB/f.u.) = 3.1
- crystal system = tetragonal
- VASP energy (eV/atom) = -2.53
- E_form (uncorrected) (meV per atom) = 496.4

=====

# 11
VASP calculation (GGA-PBE) on crystalline RbMgTlFe2 at its relaxed geometry.

a = 5.2799 Å, b = 6.0140 Å, c = 5.2799 Å
α = 90.00°, β = 90.00°, γ = 90.00°
With the nearest neighbours (Å) after each atom.
Fractional positions:
Tl 0.0000 0.5000 0.0000  2 Rb 3.01
Fe 0.0000 0.0000 0.5000  2 Rb 2.64
Fe 0.5000 0.0000 0.0000  2 Rb 2.64
Mg 0.5000 0.5000 0.5000  4 Tl 3.73, 8 Fe 4.00
Rb 0.0000 0.0000 0.0000  4 Fe 2.64

- magnetization (μB/f.u.) = 6.0
- formation energy from the elements (meV per atom) = 1970
- crystal system = tetragonal
- VASP energy (eV/atom) = -2.40

=====

# 12
VASP calculation (GGA-PBE) on crystalline RbMgFeW2 at its relaxed geometry.

a = 4.9477 Å, b = 4.9179 Å, c = 4.9477 Å
α = 90.00°, β = 90.00°, γ = 90.00°
With the nearest neighbours (Å) after each atom.
Fractional positions:
Mg 0.0000 0.0000 0.0000  2 Fe 2.46, 4 W 2.47
W 0.5000 0.0000 0.0000  2 Mg 2.47
W 0.0000 0.0000 0.5000  2 Mg 2.47
Rb 0.5000 0.5000 0.5000  8 W 3.49, 4 Fe 3.50
Fe 0.0000 0.5000 0.0000  2 Mg 2.46

- magnetization (μB/f.u.) = 5.8
- formation energy from the elements (meV per atom) = 2650
- crystal system = tetragonal
- VASP energy (eV/atom) = -4.74